# LiZrNbHg2 | the Alexandria database | GGA-PBE | optimized geometry
data_LiZrNbHg2
_cell_length_a 4.504
_cell_length_b 4.504
_cell_length_c 4.760
_cell_angle_alpha 90.00
_cell_angle_beta 90.00
_cell_angle_gamma 90.00
_symmetry_space_group_name_H-M 'P 4/m m m'
_symmetry_Int_Tables_number 123
_symmetry_space_group_name_Hall '-P 4 2'
loop_
_atom_site_label
_atom_site_type_symbol
_atom_site_fract_x
_atom_site_fract_y
_atom_site_fract_z
Li1 Li 0.000 0.000 0.000
Zr1 Zr 0.500 0.500 0.500
Nb1 Nb 0.000 0.000 0.500
Hg1 Hg 0.000 0.500 0.000
# calculated volume	19.31	Å³/atom
# ΔH_f (0 K)	0.47	eV per atom